The following is a PBE-GGA calculation of a relaxed Fe2Tc2Ge crystal, from the Alexandria database.

Results
Its density is 9.22 g/cm3. For the energy relative to the elements, the calculation gives 31.4 kJ per mole of atoms. As for the magnetic moment: 0.000 Bohr magnetons per cell. The energy above the most stable polymorph in this dataset comes out at 0 meV per atom.

Lattice parameters (Å, degrees): 3.177 3.177 7.153 77.17 77.17 90.00
Fractional positions:
1 Ge 0.000 0.000 0.000
2 Tc 0.395 0.395 0.210
3 Tc 0.605 0.605 0.790
4 Fe 0.750 0.250 0.500
5 Fe 0.250 0.750 0.500

The following is a PBE-GGA calculation of a relaxed Sr6HN2 crystal, from the Alexandria database.

Results
Its density is 3.10 g/cm3. As for the magnetic moment: 0.000 Bohr magnetons per cell.

Lattice parameters (Å, degrees): 4.366 7.443 10.086 107.81 90.00 107.06
Fractional positions:
1 Sr 0.886 0.772 0.711
2 Sr 0.666 0.332 0.028
3 Sr 0.334 0.668 0.972
4 Sr 0.624 0.248 0.646
5 Sr 0.376 0.752 0.354
6 Sr 0.114 0.228 0.289
7 H 0.000 0.000 0.500
8 N 0.769 0.538 0.846
9 N 0.231 0.462 0.154

Number 1: uncorrected energy -8.130 eV per atom. Number 2: uncorrected energy -3.711 eV per atom.